Record 1
Density functional theory data (PBE) for an optimized crystal structure of KSb2PI.

Cell lengths 5.104, 5.104, 9.045 Å; angles 90.00, 90.00, 90.00 degrees
Positions (direct):
K1 0.500 0.500 0.500
P1 0.000 0.000 0.000
Sb1 0.500 0.000 0.000
Sb2 0.000 0.500 0.000
I1 0.000 0.000 0.500

Results
The calculation puts the volume at 47.1 Å³/atom. The relative energy among the computed polymorphs comes out at 0.000 eV/atom. For the energy, the calculation gives -3.191 eV per atom. The space group is P4/mmm. As for the density of states at the Fermi level: 4.590 states/eV/cell. The magnetic moment comes out at 0.00 μB per cell. The formation energy without anion corrections is 0.07 eV/atom.

---

Record 2
Density functional theory data (PBE) for an optimized crystal structure of KSbPI2.

Cell lengths 6.654, 6.654, 7.230 Å; angles 90.00, 90.00, 90.00 degrees
Last column: magnetic moment on the atom in μB.
Positions (direct):
K1 0.000 0.000 0.000  0.01
I1 0.500 0.000 0.000  0.22
I2 0.000 0.500 0.000  0.22
Sb1 0.000 0.000 0.500  0.97
P1 0.500 0.500 0.500  1.18

Results
The calculation puts the volume at 64.0 Å³/atom. The relative energy among the computed polymorphs comes out at 0.997 eV/atom. For the energy, the calculation gives -1.859 eV per atom. The space group is P4/mmm. As for the density of states at the Fermi level: 9.516 states/eV/cell. The magnetic moment comes out at 6.14 μB per cell. The formation energy without anion corrections is 0.89 eV/atom.

---

Record 3
Density functional theory data (PBE) for an optimized crystal structure of KSb2PI.

Cell lengths 8.072, 8.072, 6.552 Å; angles 90.00, 90.00, 90.00 degrees
Last column: magnetic moment on the atom in μB.
Positions (direct):
Sb1 0.000 0.500 0.000  1.05
Sb2 0.500 0.000 0.000  1.05
I1 0.000 0.000 0.500  0.07
K1 0.000 0.000 0.000  0.01
P1 0.500 0.500 0.500  1.21

Results
The calculation puts the volume at 85.4 Å³/atom. The relative energy among the computed polymorphs comes out at 1.257 eV/atom. For the energy, the calculation gives -1.934 eV per atom. The space group is P4/mmm. The magnetic moment comes out at 8.98 μB per cell. The formation energy without anion corrections is 1.33 eV/atom.